Entry from Alexandria via LeMat-Bulk: an optimized crystal structure of RbLiCrO2 (PBE with a Hubbard U).

Computed properties:
**E**: -4.37 eV per atom
**Space-group type**: P4/mmm

Cell lengths 4.121, 5.185, 4.121 Å; angles 90.00, 90.00, 90.00 degrees
Last column: magnetic moment on the atom in μB.
Fractional coordinates of all 5 atoms:
Cr 0.000 0.000 0.000  3.59
O 0.000 0.000 0.500  -0.05
O 0.500 0.000 0.000  -0.12
Rb 0.000 0.500 0.000  0.08
Li 0.500 0.500 0.500  0.02